Entry 1:
The following is a PBE-GGA calculation of NpInPd6 after structural relaxation, from Alexandria via LeMat-Bulk.

Cell lengths 4.0985, 4.0985, 8.1469 Å; angles 90.00, 90.00, 90.00 degrees
Last column: nearest neighbours and their distance in Å.
Atoms (fractional coordinates):
Pd 0.5000 0.0000 0.2495  8 Pd 2.89-2.90, 2 In 2.89, 2 Np 2.89
Pd 0.5000 0.0000 0.7505  8 Pd 2.89-2.90, 2 In 2.89, 2 Np 2.89
Pd 0.5000 0.5000 0.0000  8 Pd 2.89, 4 In 2.90
Pd 0.0000 0.5000 0.2495  8 Pd 2.89-2.90, 2 In 2.89, 2 Np 2.89
Pd 0.0000 0.5000 0.7505  2 In 2.89, 8 Pd 2.89-2.90, 2 Np 2.89
Pd 0.5000 0.5000 0.5000  8 Pd 2.89, 4 Np 2.90
In 0.0000 0.0000 0.0000  12 Pd 2.89-2.90
Np 0.0000 0.0000 0.5000  12 Pd 2.89-2.90

The value obtained for the formation energy from the elements is -0.4623 eV per atom. Its symmetry is P4/mmm.

***

Entry 2:
The following is a PBE-GGA calculation of Rb2NbVGe after structural relaxation, from Alexandria via LeMat-Bulk.

Cell lengths 6.5777, 4.5175, 6.5777 Å; angles 90.00, 90.00, 90.00 degrees
Last column: nearest neighbours and their distance in Å.
Atoms (fractional coordinates):
Ge 0.5000 0.5000 0.5000  8 Rb 3.99
Nb 0.0000 0.5000 0.0000  2 V 2.26
V 0.0000 0.0000 0.0000  2 Nb 2.26
Rb 0.0000 0.0000 0.5000  2 V 3.29
Rb 0.5000 0.0000 0.0000  2 V 3.29

The value obtained for the formation energy from the elements is 1.5669 eV per atom. Its symmetry is P4/mmm.

***

Entry 3:
The following is a PBE-GGA calculation of ZrTlSe after structural relaxation, from Alexandria via LeMat-Bulk.

Cell lengths 3.6732, 9.4392, 9.4392 Å; angles 90.00, 90.00, 90.00 degrees
Last column: nearest neighbours and their distance in Å.
Atoms (fractional coordinates):
Se 0.0000 0.5177 0.1751  3 Zr 2.62-2.63
Se 0.5000 0.1751 0.4823  3 Zr 2.62-2.63
Se 0.0000 0.4823 0.8249  3 Zr 2.62-2.63
Se 0.5000 0.8249 0.5177  3 Zr 2.62-2.63
Zr 0.5000 0.3088 0.7256  3 Se 2.62-2.63
Zr 0.5000 0.6912 0.2744  3 Se 2.62-2.63
Zr 0.0000 0.7256 0.6912  3 Se 2.62-2.63
Zr 0.0000 0.2744 0.3088  3 Se 2.62-2.63
Tl 0.0000 0.9563 0.2128  3 Zr 3.14-3.16, 4 Tl 3.43
Tl 0.0000 0.0437 0.7872  3 Zr 3.14-3.16, 4 Tl 3.43
Tl 0.5000 0.2128 0.0437  3 Zr 3.14-3.16, 4 Tl 3.43
Tl 0.5000 0.7872 0.9563  3 Zr 3.14-3.16, 4 Tl 3.43

Its symmetry is P4_2/m. Its energy relative to the elements, uncorrected is -0.47 eV/atom.

***

Sequential energy output: -50.53; -17.91; -15.82 eV per formula unit
Sequential mass density output: 12.017; 3.291; 7.602 Mg/m³